Entry 1:
Compound: CaMn2PN
Source: Alexandria
Functional: PBE
Structure: optimized geometry

Calculated values
The formation energy from raw total energies is -76.6 kJ/mol of atoms. As for the total magnetic moment: 2.28 μB per formula unit.

Unit cell a=3.6149 b=5.5323 c=6.8324 alpha=90.00 beta=90.00 gamma=109.07
Closest atoms and distances in Å follow each position.
Fractional coordinates of all 10 atoms:
1 Ca 0.4578 0.9156 0.7500  4 N 2.53
2 Ca 0.5422 0.0844 0.2500  4 N 2.53
3 Mn 0.1677 0.3354 0.9451  1 N 1.79
4 Mn 0.8323 0.6646 0.0549  1 N 1.79
5 Mn 0.1677 0.3354 0.5549  1 N 1.79
6 Mn 0.8323 0.6646 0.4451  1 N 1.79
7 P 0.7329 0.4658 0.7500  6 Mn 2.33-2.35
8 P 0.2671 0.5342 0.2500  6 Mn 2.33-2.35
9 N 0.0000 0.0000 0.0000  2 Mn 1.79
10 N 0.0000 0.0000 0.5000  2 Mn 1.79



Entry 2:
Compound: CaMnP2N6
Source: Alexandria
Functional: PBE
Structure: optimized geometry

Calculated values
The formation energy from raw total energies is -30.7 kJ/mol of atoms. As for the total magnetic moment: 1.01 μB per formula unit.

Unit cell a=5.5333 b=7.1378 c=7.1378 alpha=89.24 beta=72.85 gamma=72.85
Closest atoms and distances in Å follow each position.
Fractional coordinates of all 20 atoms:
1 Ca 0.2500 0.8807 0.1193  4 N 2.33-2.47
2 Ca 0.7500 0.1193 0.8807  4 N 2.33-2.47
3 Mn 0.2500 0.2134 0.7866  4 N 1.72-1.76
4 Mn 0.7500 0.7866 0.2134  4 N 1.72-1.76
5 P 0.3459 0.7706 0.6253  4 N 1.61-1.66
6 P 0.1541 0.3747 0.2294  4 N 1.61-1.66
7 P 0.6541 0.2294 0.3747  4 N 1.61-1.66
8 P 0.8459 0.6253 0.7706  4 N 1.61-1.66
9 N 0.2092 0.9792 0.7689  1 P 1.66, 1 Mn 1.76
10 N 0.2908 0.2311 0.0208  1 P 1.66, 1 Mn 1.76
11 N 0.7908 0.0208 0.2311  1 P 1.66, 1 Mn 1.76
12 N 0.7092 0.7689 0.9792  1 P 1.66, 1 Mn 1.76
13 N 0.4522 0.8028 0.3871  1 P 1.66, 1 Mn 1.72
14 N 0.0478 0.6129 0.1972  1 P 1.66, 1 Mn 1.72
15 N 0.5478 0.1972 0.6129  1 P 1.66, 1 Mn 1.72
16 N 0.9522 0.3871 0.8028  1 P 1.66, 1 Mn 1.72
17 N 0.0947 0.6927 0.6440  2 P 1.61
18 N 0.4053 0.3560 0.3073  2 P 1.61
19 N 0.9053 0.3073 0.3560  2 P 1.61
20 N 0.5947 0.6440 0.6927  2 P 1.61



Entry 3:
Compound: Ca4Pa3MnN8
Source: Alexandria
Functional: PBE
Structure: optimized geometry

Calculated values
The formation energy from raw total energies is -121.9 kJ/mol of atoms. As for the total magnetic moment: 4.01 μB per formula unit.

Unit cell a=6.9968 b=6.9767 c=6.9983 alpha=120.10 beta=119.99 gamma=90.00
Closest atoms and distances in Å follow each position.
Fractional coordinates of all 16 atoms:
1 Ca 0.5000 0.0000 0.0000  6 N 2.50
2 Ca 0.5000 0.0000 0.5000  6 N 2.57-2.63
3 Ca 0.0000 0.0000 0.0000  6 N 2.57-2.63
4 Ca 0.0000 0.0000 0.5000  6 N 2.57-2.63
5 Pa 0.5000 0.5000 0.0000  6 N 2.32-2.38
6 Pa 0.5000 0.5000 0.5000  6 N 2.32-2.38
7 Pa 0.0000 0.5000 0.5000  6 N 2.32-2.38
8 Mn 0.0000 0.5000 0.0000  6 N 2.46-2.47
9 N 0.2481 0.7171 0.9688  2 Pa 2.32, 1 Mn 2.46, 1 Ca 2.50
10 N 0.2484 0.7173 0.4968  2 Pa 2.32, 1 Mn 2.47, 1 Ca 2.50
11 N 0.2600 0.2800 0.5201  3 Pa 2.38, 3 Ca 2.57
12 N 0.7207 0.7171 0.9688  2 Pa 2.32, 1 Mn 2.46, 1 Ca 2.50
13 N 0.2793 0.2829 0.0312  2 Pa 2.32, 1 Mn 2.46, 1 Ca 2.50
14 N 0.7400 0.7200 0.4799  3 Pa 2.38, 3 Ca 2.57
15 N 0.7516 0.2827 0.5032  2 Pa 2.32, 1 Mn 2.47, 1 Ca 2.50
16 N 0.7519 0.2829 0.0312  2 Pa 2.32, 1 Mn 2.46, 1 Ca 2.50



Entry 4:
Compound: CaPaMnN4
Source: Alexandria
Functional: PBE
Structure: optimized geometry

Calculated values
The formation energy from raw total energies is -85.8 kJ/mol of atoms. As for the total magnetic moment: 2.01 μB per formula unit.

Unit cell a=5.6794 b=5.3054 c=6.8763 alpha=90.00 beta=106.76 gamma=90.00
Closest atoms and distances in Å follow each position.
Fractional coordinates of all 14 atoms:
1 Ca 0.6820 0.7500 0.9144  2 N 2.43-2.50
2 Ca 0.3180 0.2500 0.0856  2 N 2.43-2.50
3 Pa 0.7611 0.7500 0.4387  6 N 2.22-2.44
4 Pa 0.2389 0.2500 0.5613  6 N 2.22-2.44
5 Mn 0.2219 0.7500 0.2981  4 N 1.73-1.80
6 Mn 0.7781 0.2500 0.7019  4 N 1.73-1.80
7 N 0.9792 0.4993 0.7163  1 Mn 1.73
8 N 0.0208 0.9993 0.2837  1 Mn 1.73
9 N 0.0208 0.5007 0.2837  1 Mn 1.73
10 N 0.9792 0.0007 0.7163  1 Mn 1.73
11 N 0.4455 0.7500 0.1579  1 Mn 1.80
12 N 0.5545 0.2500 0.8421  1 Mn 1.80
13 N 0.4166 0.7500 0.5543  1 Mn 1.79
14 N 0.5834 0.2500 0.4457  1 Mn 1.79



Entry 5:
Compound: Ca3Pa2MnN6
Source: Alexandria
Functional: PBE
Structure: optimized geometry

Calculated values
The formation energy from raw total energies is -109.7 kJ/mol of atoms. As for the total magnetic moment: 0.91 μB per formula unit.

Unit cell a=5.8800 b=5.8800 c=5.9815 alpha=99.29 beta=99.29 gamma=120.00
Closest atoms and distances in Å follow each position.
Fractional coordinates of all 12 atoms:
1 Ca 0.1587 0.8413 0.5000  6 N 2.48-2.61
2 Ca 0.8413 0.1587 0.5000  6 N 2.48-2.61
3 Ca 0.5000 0.5000 0.5000  6 N 2.52-2.53
4 Pa 0.3329 0.6671 0.0000  6 N 2.32
5 Pa 0.6671 0.3329 0.0000  6 N 2.32
6 Mn 0.0000 0.0000 0.0000  6 N 2.29-2.31
7 N 0.9290 0.5991 0.7840  1 Mn 2.29, 2 Pa 2.32, 2 Ca 2.52-2.53
8 N 0.7394 0.7394 0.2186  1 Mn 2.31, 2 Pa 2.32, 3 Ca 2.48-2.52
9 N 0.0710 0.4009 0.2160  1 Mn 2.29, 2 Pa 2.32, 2 Ca 2.52-2.53
10 N 0.5991 0.9290 0.7840  1 Mn 2.29, 2 Pa 2.32, 2 Ca 2.52-2.53
11 N 0.2606 0.2606 0.7814  1 Mn 2.31, 2 Pa 2.32, 3 Ca 2.48-2.52
12 N 0.4009 0.0710 0.2160  1 Mn 2.29, 2 Pa 2.32, 2 Ca 2.52-2.53



Entry 6:
Compound: CaPa2MnN5
Source: Alexandria
Functional: PBE
Structure: optimized geometry

Calculated values
The formation energy from raw total energies is -116.3 kJ/mol of atoms. As for the total magnetic moment: 2.70 μB per formula unit.

Unit cell a=6.5873 b=6.5873 c=7.2440 alpha=117.04 beta=117.04 gamma=90.00
Closest atoms and distances in Å follow each position.
Fractional coordinates of all 18 atoms:
1 Ca 0.2500 0.2500 0.5000  10 N 2.77-2.84
2 Ca 0.7500 0.7500 0.5000  10 N 2.77-2.84
3 Pa 0.1785 0.3215 0.0000  4 N 2.25-2.42
4 Pa 0.6785 0.1785 0.0000  4 N 2.25-2.42
5 Pa 0.3215 0.8215 0.0000  4 N 2.25-2.42
6 Pa 0.8215 0.6785 0.0000  4 N 2.25-2.42
7 Mn 0.2500 0.7500 0.5000  4 N 1.84
8 Mn 0.7500 0.2500 0.5000  4 N 1.84
9 N 0.9933 0.4933 0.2696  1 Mn 1.84
10 N 0.7237 0.2237 0.7304  1 Mn 1.84
11 N 0.0067 0.5067 0.7304  1 Mn 1.84
12 N 0.2237 0.0067 0.7304  1 Mn 1.84
13 N 0.5067 0.7237 0.7304  1 Mn 1.84
14 N 0.7763 0.9933 0.2696  1 Mn 1.84
15 N 0.4933 0.2763 0.2696  1 Mn 1.84
16 N 0.2763 0.7763 0.2696  1 Mn 1.84
17 N 0.5000 0.5000 0.0000  4 Pa 2.42
18 N 0.0000 0.0000 0.0000  4 Pa 2.42



- The highest total magnetic moment belongs to which entry?
  Ca4Pa3MnN8



- Which formula does entry 6 have?
  CaPa2MnN5



- Look up the formation energy from raw total energies of the second one.
  -30.7 kJ/mol of atoms



- Which value of formation energy from raw total energies does entry 4 give?
  -85.8 kJ/mol of atoms